Entry 1:
Density functional theory data (PBE) for BaMo2Pb after structural relaxation.

Cell lengths 4.617, 4.617, 7.525 Å; angles 98.16, 98.16, 42.99 degrees
Atoms (fractional coordinates):
Ba: 0.000 0.000 0.000
Mo: 0.228 0.228 0.674
Mo: 0.519 0.519 0.567
Pb: 0.767 0.767 0.350

Computed properties:
energy of formation from the pure elements = 0.568 eV/atom
calculated total energy = -6.255 eV per atom
spin magnetization = 0.0 μB/f.u.

=====

Entry 2:
Density functional theory data (PBE) for TlRe2SnTe after structural relaxation.

Cell lengths 5.154, 5.154, 5.866 Å; angles 90.00, 90.00, 90.00 degrees
Atoms (fractional coordinates):
Tl: 0.000 0.000 0.000
Re: 0.000 0.500 0.500
Re: 0.500 0.000 0.500
Sn: 0.500 0.500 0.500
Te: 0.500 0.500 0.000

Computed properties:
formation energy without anion corrections = 2.044 eV/atom
calculated total energy = -4.837 eV per atom
spin magnetization = 6.4 μB/f.u.

=====

Entry 3:
Density functional theory data (PBE) for Tb5Er5Th2 after structural relaxation.

Cell lengths 7.933, 7.933, 11.177 Å; angles 115.19, 115.19, 36.97 degrees
Atoms (fractional coordinates):
Tb: 0.000 0.000 0.000
Tb: 0.085 0.085 0.753
Tb: 0.168 0.168 0.501
Tb: 0.832 0.832 0.499
Tb: 0.915 0.915 0.247
Er: 0.249 0.249 0.246
Er: 0.417 0.417 0.751
Er: 0.500 0.500 0.500
Er: 0.583 0.583 0.249
Er: 0.751 0.751 0.754
Th: 0.332 0.332 0.000
Th: 0.668 0.668 0.000

Computed properties:
energy of formation from the pure elements = 0.026 eV/atom
calculated total energy = -5.041 eV per atom
spin magnetization = 0.0 μB/f.u.

=====

Entry 4:
Density functional theory data (PBE) for Er3Tl after structural relaxation.

Cell lengths 6.511, 6.511, 6.511 Å; angles 148.99, 63.82, 125.75 degrees
Atoms (fractional coordinates):
Er: 0.000 0.000 0.000
Er: 0.140 0.370 0.770
Er: 0.600 0.370 0.230
Tl: 0.538 0.038 0.500

Computed properties:
energy of formation from the pure elements = -0.155 eV/atom
calculated total energy = -4.169 eV per atom
spin magnetization = 0.0 μB/f.u.

=====

Entry 5:
Density functional theory data (PBE) for ErAlIr2 after structural relaxation.

Cell lengths 3.117, 3.117, 6.810 Å; angles 90.00, 90.00, 90.00 degrees
Atoms (fractional coordinates):
Er: 0.000 0.000 0.000
Al: 0.000 0.000 0.500
Ir: 0.500 0.500 0.285
Ir: 0.500 0.500 0.715

Computed properties:
energy of formation from the pure elements = -0.831 eV/atom
calculated total energy = -7.338 eV per atom
spin magnetization = 0.0 μB/f.u.

=====

Entry 6:
Density functional theory data (PBE) for Li2TmPbO4 after structural relaxation.

Cell lengths 5.974, 5.974, 5.974 Å; angles 135.61, 135.61, 64.59 degrees
Atoms (fractional coordinates):
Li: 0.000 0.000 0.000
Li: 0.750 0.250 0.500
Tm: 0.250 0.750 0.500
Pb: 0.500 0.500 0.000
O: 0.024 0.524 0.500
O: 0.255 0.255 0.000
O: 0.476 0.976 0.500
O: 0.745 0.745 0.000

Computed properties:
formation energy without anion corrections = -2.100 eV/atom
calculated total energy = -6.080 eV per atom
spin magnetization = 0.0 μB/f.u.

=====

Entry 7:
Density functional theory data (PBE) for Pu2Be3CuGe4 after structural relaxation.

Cell lengths 4.056, 4.056, 9.716 Å; angles 90.00, 90.00, 90.00 degrees
Atoms (fractional coordinates):
Pu: 0.000 0.500 0.246
Pu: 0.500 0.000 0.754
Be: 0.000 0.500 0.869
Be: 0.500 0.000 0.131
Be: 0.500 0.500 0.500
Cu: 0.000 0.000 0.500
Ge: 0.000 0.000 0.000
Ge: 0.000 0.500 0.637
Ge: 0.500 0.000 0.363
Ge: 0.500 0.500 0.000

Computed properties:
energy of formation from the pure elements = -0.272 eV/atom
calculated total energy = -6.513 eV per atom
spin magnetization = 10.8 μB/f.u.

=====

Entry 8:
Density functional theory data (PBE) for Sr4Pa3GaP8 after structural relaxation.

Cell lengths 8.316, 8.316, 8.316 Å; angles 60.54, 60.54, 60.54 degrees
Atoms (fractional coordinates):
Sr: 0.000 0.000 0.000
Sr: 0.000 0.500 0.500
Sr: 0.500 0.000 0.500
Sr: 0.500 0.500 0.000
Pa: 0.000 0.000 0.500
Pa: 0.000 0.500 0.000
Pa: 0.500 0.000 0.000
Ga: 0.500 0.500 0.500
P: 0.224 0.741 0.741
P: 0.239 0.239 0.239
P: 0.259 0.259 0.776
P: 0.259 0.776 0.259
P: 0.741 0.224 0.741
P: 0.741 0.741 0.224
P: 0.761 0.761 0.761
P: 0.776 0.259 0.259

Computed properties:
energy of formation from the pure elements = -1.023 eV/atom
calculated total energy = -6.118 eV per atom
spin magnetization = 0.0 μB/f.u.

=====

Entry 9:
Density functional theory data (PBE) for FeCu2HgSb after structural relaxation.

Cell lengths 4.683, 4.683, 4.710 Å; angles 90.00, 90.00, 90.00 degrees
Atoms (fractional coordinates):
Fe: 0.000 0.000 0.000
Cu: 0.000 0.500 0.000
Cu: 0.500 0.000 0.000
Hg: 0.500 0.500 0.500
Sb: 0.000 0.000 0.500

Computed properties:
formation energy without anion corrections = 0.657 eV/atom
calculated total energy = -3.559 eV per atom
spin magnetization = 1.8 μB/f.u.

=====

Entry 10:
Density functional theory data (PBE) for PmSn3 after structural relaxation.

Cell lengths 4.819, 4.819, 4.646 Å; angles 90.00, 90.00, 90.00 degrees
Atoms (fractional coordinates):
Pm: 0.000 0.000 0.000
Sn: 0.000 0.500 0.500
Sn: 0.500 0.000 0.500
Sn: 0.500 0.500 0.000

Computed properties:
energy of formation from the pure elements = -0.489 eV/atom
calculated total energy = -4.678 eV per atom
spin magnetization = 0.0 μB/f.u.

=====

Entry 11:
Density functional theory data (PBE) for NaZrAl after structural relaxation.

Cell lengths 8.086, 8.086, 4.408 Å; angles 90.00, 90.00, 152.20 degrees
Atoms (fractional coordinates):
Na: 0.000 0.000 0.000
Na: 0.500 0.500 0.500
Zr: 0.177 0.823 0.500
Zr: 0.823 0.177 0.500
Al: 0.313 0.687 0.000
Al: 0.687 0.313 0.000

Computed properties:
energy of formation from the pure elements = -0.029 eV/atom
polymorph energy (0 for the lowest one) = 5.9 kJ/mol of atoms
calculated total energy = -4.565 eV per atom
spin magnetization = 0.0 μB/f.u.

=====

Entry 12:
Density functional theory data (PBE) for SbPt4Rh4 after structural relaxation.

Cell lengths 6.265, 6.265, 6.265 Å; angles 95.60, 95.60, 143.58 degrees
Atoms (fractional coordinates):
Sb: 0.000 0.000 0.000
Pt: 0.000 0.332 0.332
Pt: 0.000 0.668 0.668
Pt: 0.332 0.000 0.332
Pt: 0.668 0.000 0.668
Rh: 0.335 0.335 0.669
Rh: 0.335 0.665 0.000
Rh: 0.665 0.335 0.000
Rh: 0.665 0.665 0.331

Computed properties:
formation energy without anion corrections = -0.111 eV/atom
calculated total energy = -6.522 eV per atom
spin magnetization = 0.0 μB/f.u.